(1)
# TbTm14Th (PBE-GGA, optimized geometry)
data_TbTm14Th
_chemical_formula_sum 'Tb2 Tm28 Th2'
_cell_length_a 11.321
_cell_length_b 7.044
_cell_length_c 12.175
_cell_angle_alpha 90.00
_cell_angle_beta 90.00
_cell_angle_gamma 90.00
_space_group_name_H-M_alt 'A m m 2'
_space_group_IT_number 38
_space_group_name_Hall 'A 2 -2'
loop_
_atom_site_label
_atom_site_type_symbol
_atom_site_fract_x
_atom_site_fract_y
_atom_site_fract_z
_atom_site_occupancy
Tb1 Tb 0.000 0.000 0.000 1
Tm1 Tm 0.000 0.250 0.250 1
Tm2 Tm 0.251 0.000 0.665 1
Tm3 Tm 0.252 0.000 0.167 1
Tm4 Tm 0.252 0.248 0.417 1
Tm5 Tm 0.500 0.000 0.333 1
Tm6 Tm 0.500 0.000 0.833 1
Tm7 Tm 0.500 0.250 0.084 1
Th1 Th 0.000 0.000 0.499 1
# Total energy (eV/atom): -4.65
# N(E_F) (states/eV/f.u.): 21.898

***

(2)
# TbTm3Th2 (PBE-GGA, optimized geometry)
data_TbTm3Th2
_chemical_formula_sum 'Tb2 Tm6 Th4'
_cell_length_a 9.964
_cell_length_b 3.547
_cell_length_c 10.563
_cell_angle_alpha 90.00
_cell_angle_beta 90.18
_cell_angle_gamma 90.00
_space_group_name_H-M_alt 'P 1 21/m 1'
_space_group_IT_number 11
_space_group_name_Hall '-P 2yb'
loop_
_atom_site_label
_atom_site_type_symbol
_atom_site_fract_x
_atom_site_fract_y
_atom_site_fract_z
_atom_site_occupancy
Tb1 Tb 0.123 0.250 0.251 1
Tm1 Tm 0.132 0.250 0.918 1
Tm2 Tm 0.371 0.750 0.418 1
Tm3 Tm 0.376 0.750 0.751 1
Th1 Th 0.126 0.250 0.582 1
Th2 Th 0.378 0.750 0.083 1
# N(E_F) (states/eV/f.u.): 7.632
# ΔE to the lowest computed polymorph (eV/atom): 0.000

***

(3)
# Tb4Tm5Th2 (PBE-GGA, optimized geometry)
data_Tb4Tm5Th2
_chemical_formula_sum 'Tb4 Tm5 Th2'
_cell_length_a 3.546
_cell_length_b 9.344
_cell_length_c 10.556
_cell_angle_alpha 93.65
_cell_angle_beta 90.00
_cell_angle_gamma 100.81
_space_group_name_H-M_alt 'P -1'
_space_group_IT_number 2
_space_group_name_Hall '-P 1'
loop_
_atom_site_label
_atom_site_type_symbol
_atom_site_fract_x
_atom_site_fract_y
_atom_site_fract_z
_atom_site_occupancy
Tb1 Tb 0.090 0.179 0.454 1
Tb2 Tb 0.361 0.723 0.823 1
Tm1 Tm 0.000 0.000 0.000 1
Tm2 Tm 0.273 0.547 0.364 1
Tm3 Tm 0.454 0.909 0.271 1
Th1 Th 0.183 0.364 0.906 1
# Total energy (eV/atom): -5.04
# N(E_F) (states/eV/f.u.): 14.414

***

(4)
# Tb4Tm5Th3 (PBE-GGA, optimized geometry)
data_Tb4Tm5Th3
_chemical_formula_sum 'Tb8 Tm10 Th6'
_cell_length_a 15.779
_cell_length_b 5.943
_cell_length_c 9.339
_cell_angle_alpha 90.00
_cell_angle_beta 116.21
_cell_angle_gamma 90.00
_space_group_name_H-M_alt 'C 1 2/m 1'
_space_group_IT_number 12
_space_group_name_Hall '-C 2y'
loop_
_atom_site_label
_atom_site_type_symbol
_atom_site_fract_x
_atom_site_fract_y
_atom_site_fract_z
_atom_site_occupancy
Tb1 Tb 0.085 0.000 0.445 1
Tb2 Tb 0.210 0.000 0.878 1
Tm1 Tm 0.000 0.000 0.000 1
Tm2 Tm 0.073 0.500 0.698 1
Tm3 Tm 0.171 0.500 0.384 1
Th1 Th 0.000 0.500 0.000 1
Th2 Th 0.209 0.000 0.236 1
# Total energy (eV/atom): -4.95
# N(E_F) (states/eV/f.u.): 17.622

***

(5)
# TbTm12Th3 (PBE-GGA, optimized geometry)
data_TbTm12Th3
_chemical_formula_sum 'Tb1 Tm12 Th3'
_cell_length_a 4.971
_cell_length_b 4.971
_cell_length_c 19.821
_cell_angle_alpha 90.00
_cell_angle_beta 90.00
_cell_angle_gamma 90.00
_space_group_name_H-M_alt 'P 4/m m m'
_space_group_IT_number 123
_space_group_name_Hall '-P 4 2'
loop_
_atom_site_label
_atom_site_type_symbol
_atom_site_fract_x
_atom_site_fract_y
_atom_site_fract_z
_atom_site_occupancy
Tb1 Tb 0.000 0.000 0.000 1
Tm1 Tm 0.000 0.500 0.126 1
Tm2 Tm 0.000 0.500 0.375 1
Tm3 Tm 0.500 0.500 0.000 1
Tm4 Tm 0.500 0.500 0.250 1
Tm5 Tm 0.500 0.500 0.500 1
Th1 Th 0.000 0.000 0.251 1
Th2 Th 0.000 0.000 0.500 1
# Total energy (eV/atom): -5.00
# N(E_F) (states/eV/f.u.): 26.508

***

(6)
# TbTm3Th5 (PBE-GGA, optimized geometry)
data_TbTm3Th5
_chemical_formula_sum 'Tb4 Tm12 Th20'
_cell_length_a 9.134
_cell_length_b 9.134
_cell_length_c 14.262
_cell_angle_alpha 90.00
_cell_angle_beta 90.00
_cell_angle_gamma 90.00
_space_group_name_H-M_alt 'I 4/m c m'
_space_group_IT_number 140
_space_group_name_Hall '-I 4 2c'
loop_
_atom_site_label
_atom_site_type_symbol
_atom_site_fract_x
_atom_site_fract_y
_atom_site_fract_z
_atom_site_occupancy
Tb1 Tb 0.000 0.500 0.250 1
Tm1 Tm 0.000 0.000 0.250 1
Tm2 Tm 0.105 0.395 0.000 1
Th1 Th 0.000 0.000 0.000 1
Th2 Th 0.206 0.294 0.374 1
# Total energy (eV/atom): -5.68
# N(E_F) (states/eV/f.u.): 16.100